(1)
Zr4InB2Pb PBE-GGA optimized geometry; spin magnetization = 0.000 μB/atom; total energy = -7.224 eV per atom; SG = P-6m2 (187); volume = 20.00 A^3/atom
1.0
-0.5098 2.7872 -2.0136
-2.5121 -2.3776 0.3453
-5.5891 7.6483 12.0020
B In Pb Zr
2 1 1 4
Cartesian
-1.3976 1.9125 3.0012
-4.1915 5.7358 9.0008
-1.8447 -0.6560 -0.4410
-3.9718 4.8898 4.7737
-2.0998 2.3280 0.7538
-3.7105 1.8973 3.5658
-5.5679 4.4390 7.5543
-5.8438 7.4515 8.7937

=====

(2)
PmInB PBE-GGA optimized geometry; spin magnetization = 0.003 μB/atom; total energy = -3.864 eV per atom; SG = F-43m (216); volume = 23.35 A^3/atom; distance to the lowest polymorph of the same formula = 824 meV per atom
1.0
0.0000 3.2718 3.2718
3.2718 0.0000 3.2718
3.2718 3.2718 0.0000
B In Pm
1 1 1
Cartesian
3.2718 3.2718 3.2718
1.6359 1.6359 1.6359
0.0000 0.0000 0.0000

=====

(3)
PmInB PBE-GGA optimized geometry; spin magnetization = 0.001 μB/atom; total energy = -4.688 eV per atom; SG = F-43m (216); volume = 20.46 A^3/atom; distance to the lowest polymorph of the same formula = 0 meV per atom
1.0
1.8776 -3.8469 1.1324
-0.9737 -1.8787 3.8896
-2.4317 -3.6983 0.1254
B In Pm
1 1 1
Cartesian
0.0000 0.0000 0.0000
-0.3819 -2.3560 1.2868
-1.1458 -7.0679 3.8605

=====

- Which of these has the highest spin magnetization?
  number 2